(1)
La2Sn2H | PBE-GGA | relaxed

The structure in extended XYZ format:
```
10
Lattice="7.594 0.000 0.000 0.000 7.594 0.000 0.000 0.000 4.982" Properties=species:S:1:pos:R:3 pbc="T T T"
La 1.325 2.472 0.000
La 2.472 6.269 0.000
La 5.122 1.325 0.000
La 6.269 5.122 0.000
Sn 1.005 4.802 2.491
Sn 2.792 1.005 2.491
Sn 4.802 6.589 2.491
Sn 6.589 2.792 2.491
H 0.000 0.000 0.000
H 3.797 3.797 0.000
```

The size of the total moment comes out at 0.000 μB per formula unit. Its space group is No. 127. The value obtained for the energy above the most stable polymorph in this dataset is 2.55 kcal/mol of atoms. For the mass density, the calculation gives 6.0 g cm⁻³. Its density of states at the Fermi level is 0.695 states/eV/atom.

---

(2)
LaSn3H | PBE-GGA | relaxed

The structure in extended XYZ format:
```
5
Lattice="6.133 0.000 0.000 0.000 6.133 0.000 0.000 0.000 6.133" Properties=species:S:1:pos:R:3 pbc="T T T"
La 0.000 0.000 0.000
Sn 0.000 0.000 3.066
Sn 0.000 3.066 0.000
Sn 3.066 0.000 0.000
H 3.066 3.066 3.066
```

The size of the total moment comes out at 0.975 μB per formula unit. Its space group is No. 221. The value obtained for the energy above the most stable polymorph in this dataset is 31.20 kcal/mol of atoms. For the mass density, the calculation gives 3.6 g cm⁻³. Its density of states at the Fermi level is 0.900 states/eV/atom.

---

(3)
La3SnH | PBE-GGA | relaxed

The structure in extended XYZ format:
```
10
Lattice="6.125 -3.505 0.000 6.125 3.505 0.000 -6.095 0.000 6.208" Properties=species:S:1:pos:R:3 pbc="T T T"
La 1.305 1.764 4.350
La -1.892 0.000 5.160
La 4.850 1.764 1.858
La 1.305 -1.764 4.350
La 8.047 0.000 1.048
La 4.850 -1.764 1.858
Sn 1.814 0.000 1.238
Sn 4.340 0.000 4.970
H -0.269 0.000 3.419
H 6.424 0.000 2.789
```

The size of the total moment comes out at 0.007 μB per formula unit. Its space group is No. 12. The value obtained for the energy above the most stable polymorph in this dataset is 0.95 kcal/mol of atoms. For the mass density, the calculation gives 6.7 g cm⁻³. Its density of states at the Fermi level is 1.176 states/eV/atom.

---

(4)
La2Sn2H | PBE-GGA | relaxed

The structure in extended XYZ format:
```
10
Lattice="2.595 -7.900 0.000 2.595 7.900 0.000 0.000 0.000 6.727" Properties=species:S:1:pos:R:3 pbc="T T T"
La 2.595 6.917 3.363
La 2.595 2.731 2.778
La 2.595 -2.731 6.142
La 2.595 -6.917 0.000
Sn 2.595 3.035 6.140
Sn 2.595 0.288 4.873
Sn 2.595 -0.288 1.509
Sn 2.595 -3.035 2.777
H 2.595 6.398 5.772
H 2.595 -6.398 2.408
```

The size of the total moment comes out at 0.000 μB per formula unit. Its space group is No. 36. The value obtained for the energy above the most stable polymorph in this dataset is 0.00 kcal/mol of atoms. For the mass density, the calculation gives 6.2 g cm⁻³. Its density of states at the Fermi level is 0.715 states/eV/atom.